Version w
Density functional theory data (PBE) for a relaxed Tb2PrY2 crystal.

The volume comes out at 33.20 A^3/atom.

Unit cell a=12.4620 b=5.8394 c=9.6746 alpha=90.00 beta=109.43 gamma=90.00
Last column: nearest neighbours and their distance in Å.
Space group C2/m (No. 12)
One atom of each set of equivalent atoms:
Tb (0.1552, 0.0000, 0.0442) [4 per cell]  4 Y 3.40-3.70, 4 Tb 3.55-3.67, 2 Pr 3.59-3.80
Tb (0.2353, 0.5000, 0.2635) [4 per cell]  5 Y 3.41-3.72, 3 Tb 3.55-3.66, 1 Pr 3.72
Pr (0.0494, 0.0000, 0.3472) [4 per cell]  1 Pr 3.56, 5 Y 3.58-3.63, 6 Tb 3.59-3.97
Y (0.0555, 0.5000, 0.8694) [4 per cell]  2 Y 3.26-3.39, 4 Tb 3.40-3.42, 2 Pr 3.58
Y (0.1447, 0.5000, 0.5746) [4 per cell]  2 Y 3.39-3.41, 4 Tb 3.41-3.70, 3 Pr 3.61-3.63

---

Version x
Density functional theory data (PBE) for a relaxed Tb2PrY2 crystal.

The volume comes out at 33.63 A^3/atom.

Unit cell a=9.4357 b=9.4357 c=3.7768 alpha=90.00 beta=90.00 gamma=90.00
Last column: nearest neighbours and their distance in Å.
Space group P4/mbm (No. 127)
One atom of each set of equivalent atoms:
Tb (0.1254, 0.3746, 0.0000) [4 per cell]  6 Y 3.30-3.41, 1 Tb 3.35
Pr (0.0000, 0.0000, 0.0000) [2 per cell]  4 Tb 3.73, 2 Pr 3.78, 8 Y 3.97
Y (0.1714, 0.6714, 0.5000) [4 per cell]  6 Tb 3.30-3.41

---

Which structure is most stable, and how do the rest compare? From most to least stable: version x, version w.

---

Version w
Density functional theory data (PBE) for a relaxed Tb2Pr8Y3 crystal.

The volume comes out at 34.86 A^3/atom.

Unit cell a=6.3371 b=22.1880 c=6.5185 alpha=90.00 beta=98.58 gamma=90.00
Last column: nearest neighbours and their distance in Å.
Space group P2_1/c (No. 14)
One atom of each set of equivalent atoms:
Tb (0.2466, 0.0366, 0.0365) [4 per cell]  2 Tb 3.49-3.69, 7 Pr 3.50-3.77, 2 Y 3.69-3.70
Pr (0.0372, 0.1551, 0.6763) [4 per cell]  3 Y 3.46-3.82, 6 Pr 3.47-3.74, 1 Tb 3.64
Pr (0.2224, 0.1888, 0.1908) [4 per cell]  1 Y 3.25, 3 Pr 3.47-3.61, 1 Tb 3.53
Pr (0.2567, 0.6100, 0.3408) [4 per cell]  2 Y 3.32-3.53, 3 Pr 3.48-3.71, 2 Tb 3.50-3.53
Pr (0.4800, 0.5839, 0.8926) [4 per cell]  5 Pr 3.48-3.85, 2 Tb 3.66-3.70, 3 Y 3.72-3.80
Y (0.0000, 0.0000, 0.5000) [2 per cell]  8 Pr 3.53-3.76, 4 Tb 3.69-3.70
Y (0.3561, 0.7343, 0.6234) [4 per cell]  3 Pr 3.25-3.46, 2 Y 3.33

---

Version x
Density functional theory data (PBE) for a relaxed Tb2Pr8Y3 crystal.

The volume comes out at 35.76 A^3/atom.

Unit cell a=7.7727 b=5.7949 c=11.0272 alpha=90.00 beta=110.63 gamma=90.00
Last column: nearest neighbours and their distance in Å.
Space group P2/m (No. 10)
One atom of each set of equivalent atoms:
Tb (0.2396, 0.0000, 0.4801) [2 per cell]  8 Pr 3.40-3.65
Pr (0.1322, 0.5000, 0.2642) [2 per cell]  2 Y 3.51, 2 Tb 3.65, 4 Pr 3.74
Pr (0.1899, 0.0000, 0.7882) [2 per cell]  1 Y 3.17, 1 Pr 3.18
Pr (0.3259, 0.5000, 0.6523) [2 per cell]  2 Tb 3.40, 4 Pr 3.59
Pr (0.4015, 0.0000, 0.2118) [2 per cell]  1 Y 3.17, 1 Pr 3.18
Y (0.0000, 0.0000, 0.0000) [1 per cell]  4 Pr 3.17
Y (0.2842, 0.5000, 0.0000) [2 per cell]  3 Y 3.35-3.64, 6 Pr 3.51-3.63

---

Which structure is most stable, and how do the rest compare? From most to least stable: version w, version x.

---

Version w
Density functional theory data (PBE) for a relaxed TbPr12Y6 crystal.

The volume comes out at 37.13 A^3/atom.

Unit cell a=16.3442 b=16.3442 c=9.1495 alpha=90.00 beta=90.00 gamma=120.00
Last column: nearest neighbours and their distance in Å.
Space group R-3m (No. 166, hexagonal axes)
One atom of each set of equivalent atoms:
Tb (0.0000, 0.0000, 0.0000) [3 per cell]  6 Pr 2.90
Pr (0.0000, 0.3909, 0.5000) [18 per cell]  5 Pr 3.46-3.57, 4 Y 3.56-3.75
Pr (0.0852, 0.1703, 0.1761) [18 per cell]  1 Tb 2.90
Y (0.0800, 0.5400, 0.1866) [18 per cell]  6 Pr 3.36-3.75, 2 Y 3.60

---

Version x
Density functional theory data (PBE) for a relaxed TbPr12Y6 crystal.

The volume comes out at 35.50 A^3/atom.

Unit cell a=12.3119 b=12.3119 c=15.4127 alpha=90.00 beta=90.00 gamma=120.00
Last column: nearest neighbours and their distance in Å.
Space group R-3 (No. 148, hexagonal axes)
One atom of each set of equivalent atoms:
Tb (0.0000, 0.0000, 0.0000) [3 per cell]  6 Y 3.53, 6 Pr 3.64
Pr (0.0015, 0.8292, 0.1920) [18 per cell]  4 Pr 3.49-3.68, 4 Y 3.58-3.77, 1 Tb 3.64
Pr (0.0483, 0.8501, 0.4164) [18 per cell]  4 Pr 3.39-3.68, 3 Y 3.42-3.55
Y (0.0166, 0.4281, 0.6882) [18 per cell]  7 Pr 3.42-3.77, 1 Tb 3.53, 2 Y 3.58

---

Which structure is most stable, and how do the rest compare? From most to least stable: version x, version w.